# 1
Material: ZnNiAs2
Method: DFT, meta-GGA SCAN
State: single point on PBEsol structure

Structure (CIF):
```
data_ZnNiAs2
_cell_length_a 4.4312
_cell_length_b 4.4312
_cell_length_c 4.4312
_cell_angle_alpha 60.00
_cell_angle_beta 60.00
_cell_angle_gamma 60.00
_symmetry_space_group_name_H-M 'P 1'
_symmetry_Int_Tables_number 1
loop_
_symmetry_equiv_pos_as_xyz
'x,y,z'
loop_
_atom_site_label
_atom_site_fract_x
_atom_site_fract_y
_atom_site_fract_z
_atom_site_occupancy
Zn1 0.0000 0.0000 0.0000 1
Ni1 0.7500 0.7500 0.7500 1
As1 0.2500 0.2500 0.2500 1
As2 0.5000 0.5000 0.5000 1
```

## Properties
* raw total energy: -17.13 eV per atom
* energy of formation: 384 meV per atom
* space-group type: F-43m
* Fermi-level density of states: 0.534 states/eV/atom

---

# 2
Material: Np3As4
Method: DFT, meta-GGA SCAN
State: single point on PBEsol structure

Structure (CIF):
```
data_Np3As4
_cell_length_a 7.2177
_cell_length_b 7.2177
_cell_length_c 7.2177
_cell_angle_alpha 109.47
_cell_angle_beta 109.47
_cell_angle_gamma 109.47
_symmetry_space_group_name_H-M 'P 1'
_symmetry_Int_Tables_number 1
loop_
_symmetry_equiv_pos_as_xyz
'x,y,z'
loop_
_atom_site_label
_atom_site_fract_x
_atom_site_fract_y
_atom_site_fract_z
_atom_site_occupancy
Np1 0.1250 0.8750 0.2500 1
Np2 0.2500 0.1250 0.8750 1
Np3 0.3750 0.6250 0.7500 1
Np4 0.6250 0.7500 0.3750 1
Np5 0.7500 0.3750 0.6250 1
Np6 0.8750 0.2500 0.1250 1
As1 0.0000 0.1593 0.5000 1
As2 0.0000 0.6593 0.5000 1
As3 0.1593 0.5000 0.0000 1
As4 0.3407 0.3407 0.3407 1
As5 0.5000 0.0000 0.1593 1
As6 0.5000 0.0000 0.6593 1
As7 0.6593 0.5000 0.0000 1
As8 0.8407 0.8407 0.8407 1
```

## Properties
* raw total energy: -57.91 eV per atom
* energy of formation: -511 meV per atom
* space-group type: I-43d
* Fermi-level density of states: 3.364 states/eV/atom

---

# 3
Material: As2O3
Method: DFT, meta-GGA SCAN
State: single point on PBEsol structure

Structure (CIF):
```
data_As2O3
_cell_length_a 6.9294
_cell_length_b 6.9294
_cell_length_c 7.6007
_cell_angle_alpha 90.00
_cell_angle_beta 90.00
_cell_angle_gamma 90.00
_symmetry_space_group_name_H-M 'P 1'
_symmetry_Int_Tables_number 1
loop_
_symmetry_equiv_pos_as_xyz
'x,y,z'
loop_
_atom_site_label
_atom_site_fract_x
_atom_site_fract_y
_atom_site_fract_z
_atom_site_occupancy
As1 0.0217 0.7048 0.1337 1
As2 0.2048 0.9783 0.6337 1
As3 0.2952 0.5217 0.6337 1
As4 0.4783 0.7952 0.1337 1
As5 0.5217 0.2048 0.8663 1
As6 0.7048 0.4783 0.3663 1
As7 0.7952 0.0217 0.3663 1
As8 0.9783 0.2952 0.8663 1
O1 0.0647 0.4039 0.6629 1
O2 0.0961 0.0647 0.8371 1
O3 0.2500 0.7500 0.2434 1
O4 0.2500 0.7500 0.7434 1
O5 0.4039 0.4353 0.8371 1
O6 0.4353 0.0961 0.6629 1
O7 0.5647 0.9039 0.3371 1
O8 0.5961 0.5647 0.1629 1
O9 0.7500 0.2500 0.2566 1
O10 0.7500 0.2500 0.7566 1
O11 0.9039 0.9353 0.1629 1
O12 0.9353 0.5961 0.3371 1
```

## Properties
* raw total energy: -13.07 eV per atom
* space-group type: P4_2/n
* formation energy without anion corrections: -1.260 eV per atom
* Fermi-level density of states: 0.000 states/eV/atom

---

# 4
Material: As2O3
Method: DFT, meta-GGA SCAN
State: single point on PBEsol structure

Structure (CIF):
```
data_As2O3
_cell_length_a 7.7339
_cell_length_b 7.7339
_cell_length_c 7.7339
_cell_angle_alpha 60.00
_cell_angle_beta 60.00
_cell_angle_gamma 60.00
_symmetry_space_group_name_H-M 'P 1'
_symmetry_Int_Tables_number 1
loop_
_symmetry_equiv_pos_as_xyz
'x,y,z'
loop_
_atom_site_label
_atom_site_fract_x
_atom_site_fract_y
_atom_site_fract_z
_atom_site_occupancy
As1 0.1922 0.7693 0.7693 1
As2 0.2307 0.2307 0.2307 1
As3 0.2307 0.2307 0.8078 1
As4 0.2307 0.8078 0.2307 1
As5 0.7693 0.1922 0.7693 1
As6 0.7693 0.7693 0.1922 1
As7 0.7693 0.7693 0.7693 1
As8 0.8078 0.2307 0.2307 1
O1 0.0543 0.0543 0.6957 1
O2 0.0543 0.6957 0.0543 1
O3 0.0543 0.6957 0.6957 1
O4 0.3043 0.3043 0.9457 1
O5 0.3043 0.9457 0.3043 1
O6 0.3043 0.9457 0.9457 1
O7 0.6957 0.0543 0.0543 1
O8 0.6957 0.0543 0.6957 1
O9 0.6957 0.6957 0.0543 1
O10 0.9457 0.3043 0.3043 1
O11 0.9457 0.3043 0.9457 1
O12 0.9457 0.9457 0.3043 1
```

## Properties
* raw total energy: -13.10 eV per atom
* space-group type: Fd-3m
* formation energy without anion corrections: -1.285 eV per atom
* Fermi-level density of states: 0.000 states/eV/atom

---

# 5
Material: As2O3
Method: DFT, meta-GGA SCAN
State: single point on PBEsol structure

Structure (CIF):
```
data_As2O3
_cell_length_a 5.2811
_cell_length_b 15.1735
_cell_length_c 4.4095
_cell_angle_alpha 90.00
_cell_angle_beta 102.74
_cell_angle_gamma 90.00
_symmetry_space_group_name_H-M 'P 1'
_symmetry_Int_Tables_number 1
loop_
_symmetry_equiv_pos_as_xyz
'x,y,z'
loop_
_atom_site_label
_atom_site_fract_x
_atom_site_fract_y
_atom_site_fract_z
_atom_site_occupancy
As1 0.0734 0.1776 0.3660 1
As2 0.0734 0.3224 0.8660 1
As3 0.2838 0.5412 0.5544 1
As4 0.2838 0.9588 0.0544 1
As5 0.7162 0.0412 0.9456 1
As6 0.7162 0.4588 0.4456 1
As7 0.9266 0.6776 0.1340 1
As8 0.9266 0.8224 0.6340 1
O1 0.0010 0.2083 0.7346 1
O2 0.0010 0.2917 0.2346 1
O3 0.2463 0.6257 0.2594 1
O4 0.2463 0.8743 0.7594 1
O5 0.3638 0.0494 0.8103 1
O6 0.3638 0.4506 0.3103 1
O7 0.6362 0.5494 0.6897 1
O8 0.6362 0.9506 0.1897 1
O9 0.7537 0.1257 0.2406 1
O10 0.7537 0.3743 0.7406 1
O11 0.9990 0.7083 0.7654 1
O12 0.9990 0.7917 0.2654 1
```

## Properties
* raw total energy: -13.02 eV per atom
* space-group type: P2_1/c
* formation energy without anion corrections: -1.206 eV per atom
* Fermi-level density of states: 0.000 states/eV/atom

---

# 6
Material: As2O3
Method: DFT, meta-GGA SCAN
State: single point on PBEsol structure

Structure (CIF):
```
data_As2O3
_cell_length_a 8.0897
_cell_length_b 4.5261
_cell_length_c 9.0872
_cell_angle_alpha 90.00
_cell_angle_beta 100.90
_cell_angle_gamma 90.00
_symmetry_space_group_name_H-M 'P 1'
_symmetry_Int_Tables_number 1
loop_
_symmetry_equiv_pos_as_xyz
'x,y,z'
loop_
_atom_site_label
_atom_site_fract_x
_atom_site_fract_y
_atom_site_fract_z
_atom_site_occupancy
As1 0.0581 0.0000 0.1242 1
As2 0.1338 0.2976 0.5548 1
As3 0.3656 0.0110 0.9479 1
As4 0.4354 0.3180 0.3752 1
As5 0.5646 0.8180 0.6248 1
As6 0.6344 0.5110 0.0521 1
As7 0.8662 0.7976 0.4452 1
As8 0.9419 0.5000 0.8758 1
O1 0.0111 0.3818 0.0719 1
O2 0.0776 0.6862 0.5354 1
O3 0.2149 0.2614 0.3808 1
O4 0.2822 0.9977 0.1206 1
O5 0.4245 0.3998 0.9591 1
O6 0.4808 0.4564 0.5695 1
O7 0.5192 0.9564 0.4305 1
O8 0.5755 0.8998 0.0409 1
O9 0.7178 0.4977 0.8794 1
O10 0.7851 0.7614 0.6192 1
O11 0.9224 0.1862 0.4646 1
O12 0.9889 0.8818 0.9281 1
```

## Properties
* raw total energy: -13.10 eV per atom
* space-group type: P2_1
* formation energy without anion corrections: -1.285 eV per atom
* Fermi-level density of states: 0.000 states/eV/atom

---

# 7
Material: AsOsO2
Method: DFT, meta-GGA SCAN
State: single point on PBEsol structure

Structure (CIF):
```
data_AsOsO2
_cell_length_a 7.4042
_cell_length_b 7.4042
_cell_length_c 7.4042
_cell_angle_alpha 21.51
_cell_angle_beta 21.51
_cell_angle_gamma 21.51
_symmetry_space_group_name_H-M 'P 1'
_symmetry_Int_Tables_number 1
loop_
_symmetry_equiv_pos_as_xyz
'x,y,z'
loop_
_atom_site_label
_atom_site_fract_x
_atom_site_fract_y
_atom_site_fract_z
_atom_site_occupancy
As1 0.0000 0.0000 0.0000 1
Os1 0.5000 0.5000 0.5000 1
O1 0.4151 0.4151 0.4151 1
O2 0.5849 0.5849 0.5849 1
```

## Properties
* raw total energy: -26.30 eV per atom
* space-group type: R-3m
* formation energy without anion corrections: -0.165 eV per atom
* Fermi-level density of states: 0.408 states/eV/atom

---

# 8
Material: As2PO
Method: DFT, meta-GGA SCAN
State: single point on PBEsol structure

Structure (CIF):
```
data_As2PO
_cell_length_a 4.2488
_cell_length_b 4.2488
_cell_length_c 4.2488
_cell_angle_alpha 60.00
_cell_angle_beta 60.00
_cell_angle_gamma 60.00
_symmetry_space_group_name_H-M 'P 1'
_symmetry_Int_Tables_number 1
loop_
_symmetry_equiv_pos_as_xyz
'x,y,z'
loop_
_atom_site_label
_atom_site_fract_x
_atom_site_fract_y
_atom_site_fract_z
_atom_site_occupancy
As1 0.2500 0.2500 0.2500 1
As2 0.7500 0.7500 0.7500 1
P1 0.0000 0.0000 0.0000 1
O1 0.5000 0.5000 0.5000 1
```

## Properties
* raw total energy: -13.86 eV per atom
* space-group type: Fm-3m
* formation energy without anion corrections: 0.392 eV per atom
* Fermi-level density of states: 0.278 states/eV/atom

---

# 9
Material: AsPO4
Method: DFT, meta-GGA SCAN
State: single point on PBEsol structure

Structure (CIF):
```
data_AsPO4
_cell_length_a 8.3251
_cell_length_b 4.9948
_cell_length_c 7.5978
_cell_angle_alpha 90.00
_cell_angle_beta 90.00
_cell_angle_gamma 90.00
_symmetry_space_group_name_H-M 'P 1'
_symmetry_Int_Tables_number 1
loop_
_symmetry_equiv_pos_as_xyz
'x,y,z'
loop_
_atom_site_label
_atom_site_fract_x
_atom_site_fract_y
_atom_site_fract_z
_atom_site_occupancy
As1 0.2289 0.2500 0.1801 1
As2 0.2711 0.7500 0.6801 1
As3 0.7289 0.2500 0.3199 1
As4 0.7711 0.7500 0.8199 1
P1 0.0891 0.2500 0.8111 1
P2 0.4109 0.7500 0.3110 1
P3 0.5891 0.2500 0.6889 1
P4 0.9109 0.7500 0.1890 1
O1 0.0720 0.7500 0.1019 1
O2 0.1103 0.0010 0.6881 1
O3 0.1103 0.4990 0.6881 1
O4 0.2386 0.2500 0.9397 1
O5 0.2614 0.7500 0.4397 1
O6 0.3897 0.5010 0.1881 1
O7 0.3897 0.9990 0.1881 1
O8 0.4280 0.2500 0.6019 1
O9 0.5720 0.7500 0.3981 1
O10 0.6103 0.0010 0.8119 1
O11 0.6103 0.4990 0.8119 1
O12 0.7386 0.2500 0.5603 1
O13 0.7614 0.7500 0.0603 1
O14 0.8897 0.5010 0.3119 1
O15 0.8897 0.9990 0.3119 1
O16 0.9280 0.2500 0.8981 1
```

## Properties
* raw total energy: -11.18 eV per atom
* space-group type: Pnma
* formation energy without anion corrections: -1.927 eV per atom
* Fermi-level density of states: 0.000 states/eV/atom

---

# 10
Material: RbAs2PO
Method: DFT, meta-GGA SCAN
State: single point on PBEsol structure

Structure (CIF):
```
data_RbAs2PO
_cell_length_a 4.3633
_cell_length_b 4.3633
_cell_length_c 5.0792
_cell_angle_alpha 90.00
_cell_angle_beta 90.00
_cell_angle_gamma 90.00
_symmetry_space_group_name_H-M 'P 1'
_symmetry_Int_Tables_number 1
loop_
_symmetry_equiv_pos_as_xyz
'x,y,z'
loop_
_atom_site_label
_atom_site_fract_x
_atom_site_fract_y
_atom_site_fract_z
_atom_site_occupancy
Rb1 0.0000 0.0000 0.0000 1
As1 0.0000 0.5000 0.5000 1
As2 0.5000 0.0000 0.5000 1
P1 0.5000 0.5000 0.0000 1
O1 0.0000 0.0000 0.5000 1
```

## Properties
* raw total energy: -15.27 eV per atom
* space-group type: P4/mmm
* formation energy without anion corrections: 0.276 eV per atom
* Fermi-level density of states: 0.450 states/eV/atom

---

# 11
Material: ReAsP2O
Method: DFT, meta-GGA SCAN
State: single point on PBEsol structure

Structure (CIF):
```
data_ReAsP2O
_cell_length_a 4.7394
_cell_length_b 4.7394
_cell_length_c 3.6709
_cell_angle_alpha 90.00
_cell_angle_beta 90.00
_cell_angle_gamma 90.00
_symmetry_space_group_name_H-M 'P 1'
_symmetry_Int_Tables_number 1
loop_
_symmetry_equiv_pos_as_xyz
'x,y,z'
loop_
_atom_site_label
_atom_site_fract_x
_atom_site_fract_y
_atom_site_fract_z
_atom_site_occupancy
Re1 0.0000 0.0000 0.0000 1
As1 0.5000 0.5000 0.5000 1
P1 0.0000 0.5000 0.0000 1
P2 0.5000 0.0000 0.0000 1
O1 0.0000 0.0000 0.5000 1
```

## Properties
* raw total energy: -23.59 eV per atom
* space-group type: P4/mmm
* formation energy without anion corrections: 0.071 eV per atom
* Fermi-level density of states: 0.689 states/eV/atom

---

# 12
Material: SbAsP2O
Method: DFT, meta-GGA SCAN
State: single point on PBEsol structure

Structure (CIF):
```
data_SbAsP2O
_cell_length_a 5.0098
_cell_length_b 5.0098
_cell_length_c 3.8504
_cell_angle_alpha 90.00
_cell_angle_beta 90.00
_cell_angle_gamma 90.00
_symmetry_space_group_name_H-M 'P 1'
_symmetry_Int_Tables_number 1
loop_
_symmetry_equiv_pos_as_xyz
'x,y,z'
loop_
_atom_site_label
_atom_site_fract_x
_atom_site_fract_y
_atom_site_fract_z
_atom_site_occupancy
Sb1 0.0000 0.0000 0.0000 1
As1 0.5000 0.5000 0.5000 1
P1 0.0000 0.5000 0.0000 1
P2 0.5000 0.0000 0.0000 1
O1 0.0000 0.0000 0.5000 1
```

## Properties
* raw total energy: -16.32 eV per atom
* space-group type: P4/mmm
* formation energy without anion corrections: 0.571 eV per atom
* Fermi-level density of states: 0.560 states/eV/atom